A relaxed Ca3MgBr6Cl2 crystal, computed with PBE.

The value obtained for the calculated total energy is -0.1373 hartree per atom. Its crystal system is monoclinic. Its volume is 30.91 Å³/atom. Its energy relative to the elements, uncorrected is -45.169 kcal/mol of atoms.

a = 6.4048 Å, b = 8.2155 Å, c = 8.1712 Å
α = 120.18°, β = 93.12°, γ = 90.00°
Sites, in units of the cell vectors:
1 Ca 0.0000 0.5000 0.0000
2 Ca 0.5000 0.5000 0.5000
3 Ca 0.5000 0.0000 0.5000
4 Mg 0.5000 0.0000 0.0000
5 Br 0.7477 0.3232 0.1677
6 Br 0.2523 0.6768 0.8323
7 Br 0.7359 0.8507 0.7013
8 Br 0.2641 0.1493 0.2987
9 Br 0.2523 0.1555 0.8323
10 Br 0.7477 0.8445 0.1677
11 Cl 0.2607 0.6660 0.3321
12 Cl 0.7393 0.3340 0.6679


A relaxed Ca3MnBr2Cl6 crystal, computed with PBE.

The value obtained for the calculated total energy is -0.1622 hartree per atom. Its crystal system is monoclinic. Its volume is 28.64 Å³/atom. Its energy relative to the elements, uncorrected is -44.872 kcal/mol of atoms.

a = 6.2780 Å, b = 7.9744 Å, c = 7.9478 Å
α = 120.11°, β = 87.31°, γ = 90.00°
Last column: magnetic moment on the atom in μB.
Sites, in units of the cell vectors:
1 Ca 0.0000 0.5000 0.0000  0.01
2 Ca 0.5000 0.5000 0.5000  0.00
3 Ca 0.5000 0.0000 0.5000  0.00
4 Mn 0.5000 0.0000 0.0000  4.45
5 Br 0.2139 0.6807 0.3615  0.00
6 Br 0.7861 0.3193 0.6385  0.00
7 Cl 0.7306 0.3132 0.1454  0.03
8 Cl 0.2694 0.6868 0.8546  0.03
9 Cl 0.7134 0.8407 0.6814  0.03
10 Cl 0.2866 0.1593 0.3186  0.03
11 Cl 0.2694 0.1678 0.8546  0.03
12 Cl 0.7306 0.8322 0.1454  0.03


Look up the energy relative to the elements, uncorrected of the second one.
-44.872 kcal/mol of atoms


Copy entry 1 word for word.
A relaxed Ca3MgBr6Cl2 crystal, computed with PBE.

The value obtained for the calculated total energy is -0.1373 hartree per atom. Its crystal system is monoclinic. Its volume is 30.91 Å³/atom. Its energy relative to the elements, uncorrected is -45.169 kcal/mol of atoms.

a = 6.4048 Å, b = 8.2155 Å, c = 8.1712 Å
α = 120.18°, β = 93.12°, γ = 90.00°
Sites, in units of the cell vectors:
1 Ca 0.0000 0.5000 0.0000
2 Ca 0.5000 0.5000 0.5000
3 Ca 0.5000 0.0000 0.5000
4 Mg 0.5000 0.0000 0.0000
5 Br 0.7477 0.3232 0.1677
6 Br 0.2523 0.6768 0.8323
7 Br 0.7359 0.8507 0.7013
8 Br 0.2641 0.1493 0.2987
9 Br 0.2523 0.1555 0.8323
10 Br 0.7477 0.8445 0.1677
11 Cl 0.2607 0.6660 0.3321
12 Cl 0.7393 0.3340 0.6679


Which value of volume does entry 2 give?
28.64 Å³/atom


Number 2 is which compound?
Ca3MnBr2Cl6